First-principles (PBE-GGA) data for a relaxed LuZnCuSi crystal, as listed in OQMD.

The structure in POSCAR format:
```
LuZnCuSi
1.0
0.0000 3.2097 3.2097
3.2097 0.0000 3.2097
3.2097 3.2097 0.0000
Lu Zn Cu Si
1 1 1 1
Cartesian
0.0000 0.0000 0.0000
4.8146 4.8146 4.8146
3.2097 3.2097 3.2097
1.6049 1.6049 1.6049
```

Calculated values
Polymorph energy (0 for the lowest one) ... 0.0 kJ per mole of atoms
SG ... F-43m, No. 216